No. 1
This record from the Alexandria database describes a relaxed structure of TlSe2F. The functional is GGA-PBE.

Cell lengths 6.1498, 6.1498, 7.4596 Å; angles 65.66, 65.66, 90.00 degrees
Each line ends with the local moment (μB).
Fractional coordinates of all 8 atoms:
1 Tl 0.7500 0.2500 0.5000  -0.01
2 Tl 0.0000 0.0000 0.0000  -0.01
3 F 0.5000 0.5000 0.0000  0.37
4 F 0.2500 0.7500 0.5000  0.37
5 Se 0.1485 0.6250 0.2500  0.46
6 Se 0.6015 0.1250 0.2500  0.46
7 Se 0.8750 0.8515 0.7500  0.46
8 Se 0.3750 0.3985 0.7500  0.47

Calculated values
* formation energy (no corrections): -65 meV/atom
* mass density: 5.5 g cm⁻³
* SG: I-42d, No. 122

***

No. 2
This record from the Alexandria database describes a relaxed structure of Tl5Se2F. The functional is GGA-PBE.

Cell lengths 5.5031, 8.5822, 14.6217 Å; angles 90.00, 90.00, 108.70 degrees
Fractional coordinates of all 16 atoms:
1 F 0.7050 0.4099 0.7500
2 F 0.2950 0.5901 0.2500
3 Tl 0.3018 0.6036 0.0786
4 Tl 0.9298 0.8596 0.8831
5 Tl 0.6982 0.3964 0.9214
6 Tl 0.2225 0.4451 0.7500
7 Tl 0.6982 0.3964 0.5786
8 Tl 0.3018 0.6036 0.4214
9 Tl 0.9298 0.8596 0.6169
10 Tl 0.0702 0.1404 0.3831
11 Tl 0.7775 0.5549 0.2500
12 Tl 0.0702 0.1404 0.1169
13 Se 0.1042 0.2085 0.9137
14 Se 0.8958 0.7915 0.4137
15 Se 0.1042 0.2085 0.5863
16 Se 0.8958 0.7915 0.0863

Calculated values
* formation energy (no corrections): -608 meV/atom
* mass density: 6.1 g cm⁻³
* SG: Cmcm, No. 63

***

No. 3
This record from the Alexandria database describes a relaxed structure of TlSeF3. The functional is GGA-PBE.

Cell lengths 4.5238, 4.5238, 4.5238 Å; angles 90.00, 90.00, 90.00 degrees
Fractional coordinates of all 5 atoms:
1 F 0.0000 0.5000 0.0000
2 F 0.0000 0.0000 0.5000
3 F 0.5000 0.0000 0.0000
4 Se 0.0000 0.0000 0.0000
5 Tl 0.5000 0.5000 0.5000

Calculated values
* formation energy (no corrections): -1190 meV/atom
* mass density: 6.1 g cm⁻³
* SG: Pm-3m, No. 221

***

No. 4
This record from the Alexandria database describes a relaxed structure of Tl2SeF7. The functional is GGA-PBE.

Cell lengths 7.8477, 7.3904, 8.4592 Å; angles 68.93, 62.36, 57.93 degrees
Fractional coordinates of all 20 atoms:
1 F 0.6266 0.4445 0.7792
2 F 0.8638 0.5262 0.8719
3 F 0.3734 0.5555 0.2208
4 F 0.8502 0.0555 0.7208
5 F 0.2618 0.9738 0.6281
6 F 0.7944 0.1505 0.9964
7 F 0.7382 0.0262 0.3719
8 F 0.0588 0.6505 0.4964
9 F 0.6191 0.7500 0.2500
10 F 0.1498 0.9445 0.2792
11 F 0.1362 0.4738 0.1281
12 F 0.9412 0.3495 0.5036
13 F 0.3809 0.2500 0.7500
14 F 0.2056 0.8495 0.0036
15 Se 0.8981 0.2500 0.7500
16 Se 0.1019 0.7500 0.2500
17 Tl 0.1834 0.6040 0.7935
18 Tl 0.4191 0.1040 0.2935
19 Tl 0.5809 0.8960 0.7065
20 Tl 0.8166 0.3960 0.2065

Calculated values
* formation energy (no corrections): -1683 meV/atom
* mass density: 5.7 g cm⁻³
* SG: C2/c, No. 15

***

No. 5
This record from the Alexandria database describes a relaxed structure of TlSeF5. The functional is GGA-PBE.

Cell lengths 7.1883, 7.1883, 7.2202 Å; angles 103.88, 114.69, 109.84 degrees
Fractional coordinates of all 14 atoms:
1 F 0.7481 0.4737 0.2376
2 F 0.7753 0.3312 0.5528
3 F 0.2500 0.9940 0.2311
4 F 0.7638 0.9894 0.7376
5 F 0.2371 0.4811 0.7311
6 F 0.0830 0.8913 0.8167
7 F 0.9254 0.2338 0.3167
8 F 0.7960 0.7055 0.9113
9 F 0.2216 0.2775 0.0528
10 F 0.2059 0.6154 0.4113
11 Tl 0.5156 0.2713 0.7511
12 Tl 0.4798 0.7355 0.2511
13 Se 0.0031 0.0041 0.9994
14 Se 0.9953 0.4963 0.4994

Calculated values
* formation energy (no corrections): -1801 meV/atom
* mass density: 4.4 g cm⁻³
* SG: Cc, No. 9

***

No. 6
This record from the Alexandria database describes a relaxed structure of TlSe2F. The functional is GGA-PBE.

Cell lengths 6.3324, 6.3324, 6.3324 Å; angles 42.11, 42.11, 42.11 degrees
Fractional coordinates of all 4 atoms:
1 Se 0.1816 0.1816 0.1816
2 Se 0.8184 0.8184 0.8184
3 Tl 0.0000 0.0000 0.0000
4 F 0.5000 0.5000 0.5000

Calculated values
* formation energy (no corrections): -437 meV/atom
* mass density: 6.1 g cm⁻³
* SG: R-3m, No. 166

***

No. 7
This record from the Alexandria database describes a relaxed structure of TlSe2F. The functional is GGA-PBE.

Cell lengths 4.8144, 4.8144, 4.8144 Å; angles 60.00, 60.00, 60.00 degrees
Fractional coordinates of all 4 atoms:
1 Se 0.2500 0.2500 0.2500
2 Se 0.7500 0.7500 0.7500
3 Tl 0.5000 0.5000 0.5000
4 F 0.0000 0.0000 0.0000

Calculated values
* formation energy (no corrections): -75 meV/atom
* mass density: 8.0 g cm⁻³
* SG: Fm-3m, No. 225

***

No. 8
This record from the Alexandria database describes a relaxed structure of TlSe2F. The functional is GGA-PBE.

Cell lengths 7.6544, 7.6544, 7.6544 Å; angles 32.50, 32.50, 32.50 degrees
Fractional coordinates of all 4 atoms:
1 F 0.0000 0.0000 0.0000
2 Se 0.0983 0.0983 0.0983
3 Se 0.9017 0.9017 0.9017
4 Tl 0.5000 0.5000 0.5000

Calculated values
* formation energy (no corrections): -275 meV/atom
* mass density: 5.5 g cm⁻³
* SG: R-3m, No. 166

***

No. 9
This record from the Alexandria database describes a relaxed structure of Tl2SeF6. The functional is GGA-PBE.

Cell lengths 6.2689, 6.2689, 6.2689 Å; angles 60.00, 60.00, 60.00 degrees
Fractional coordinates of all 9 atoms:
1 F 0.7780 0.2220 0.2220
2 F 0.2220 0.7780 0.7780
3 F 0.2220 0.2220 0.7780
4 F 0.7780 0.2220 0.7780
5 F 0.7780 0.7780 0.2220
6 F 0.2220 0.7780 0.2220
7 Tl 0.7500 0.7500 0.7500
8 Tl 0.2500 0.2500 0.2500
9 Se 0.0000 0.0000 0.0000

Calculated values
* formation energy (no corrections): -1786 meV/atom
* mass density: 5.7 g cm⁻³
* SG: Fm-3m, No. 225

***

No. 10
This record from the Alexandria database describes a relaxed structure of Tl2SeF5. The functional is GGA-PBE.

Cell lengths 6.4535, 6.4493, 6.2184 Å; angles 118.10, 118.89, 92.20 degrees
Each line ends with the local moment (μB).
Fractional coordinates of all 8 atoms:
1 F 0.2634 0.2670 0.1739  0.03
2 F 0.7739 0.1941 0.0116  0.03
3 F 0.7103 0.7031 0.8499  0.04
4 F 0.8760 0.8798 0.5369  0.16
5 F 0.1980 0.7743 0.9918  0.03
6 Tl 0.7416 0.2329 0.4881  0.00
7 Tl 0.2270 0.7421 0.4906  0.01
8 Se 0.9869 0.9838 0.0112  0.45

Calculated values
* formation energy (no corrections): -1594 meV/atom
* mass density: 5.2 g cm⁻³
* SG: P1, No. 1

***

No. 11
This record from the Alexandria database describes a relaxed structure of Tl3SeF2. The functional is GGA-PBE.

Cell lengths 5.5718, 8.5348, 7.1437 Å; angles 107.40, 112.95, 90.00 degrees
Fractional coordinates of all 12 atoms:
1 Tl 0.1865 0.5933 0.3732
2 Tl 0.1868 0.0933 0.3732
3 Tl 0.8135 0.4067 0.6268
4 Tl 0.5001 0.2500 0.0000
5 Tl 0.8132 0.9067 0.6268
6 Tl 0.4999 0.7500 0.0000
7 F 0.6429 0.5710 0.2840
8 F 0.3590 0.9290 0.7160
9 F 0.3571 0.4290 0.7160
10 F 0.6410 0.0710 0.2840
11 Se 0.9999 0.7500 0.0000
12 Se 0.0001 0.2500 0.0000

Calculated values
* formation energy (no corrections): -1190 meV/atom
* mass density: 8.2 g cm⁻³
* SG: C2/c, No. 15

***

No. 12
This record from the Alexandria database describes a relaxed structure of Tl3Se2F. The functional is GGA-PBE.

Cell lengths 7.6152, 7.3217, 7.3217 Å; angles 59.01, 75.74, 75.74 degrees
Fractional coordinates of all 12 atoms:
1 Tl 0.4907 0.2161 0.0777
2 Tl 0.9907 0.0777 0.2161
3 Tl 0.5093 0.7839 0.9223
4 Tl 0.2500 0.4444 0.5556
5 Tl 0.0093 0.9223 0.7839
6 Tl 0.7500 0.5556 0.4444
7 F 0.7500 0.9082 0.0918
8 F 0.2500 0.0918 0.9082
9 Se 0.0941 0.4926 0.2263
10 Se 0.9059 0.5074 0.7737
11 Se 0.5941 0.2263 0.4926
12 Se 0.4059 0.7737 0.5074

Calculated values
* formation energy (no corrections): -732 meV/atom
* mass density: 7.8 g cm⁻³
* SG: C2/c, No. 15